Entry 1:
The following is a DFT calculation (PBE) of a geometry-optimized LiThAs2 structure.

a b c (Å): 4.613 4.613 5.440
angles (deg): 64.91 64.91 60.00
Fractional coordinates of all 4 atoms:
As (0.736, 0.736, 0.792)
As (0.264, 0.264, 0.208)
Li (0.000, 0.000, 0.000)
Th (0.500, 0.500, 0.500)

Calculated formation energy (eV per atom): -0.821
Crystal system: trigonal
E above lowest polymorph (eV per atom): 0.181

Entry 2:
The following is a DFT calculation (PBE) of a geometry-optimized Ho4ErRh4 structure.

a b c (Å): 5.596 8.732 8.732
angles (deg): 90.00 90.00 90.00
Fractional coordinates of all 18 atoms:
Ho (0.405, 0.682, 0.086)
Er (0.000, 0.000, 0.000)
Rh (0.902, 0.275, 0.877)
Rh (0.098, 0.877, 0.725)
Rh (0.598, 0.225, 0.623)
Rh (0.098, 0.123, 0.275)
Rh (0.402, 0.377, 0.225)
Ho (0.095, 0.182, 0.586)
Ho (0.095, 0.818, 0.414)
Rh (0.902, 0.725, 0.123)
Ho (0.905, 0.414, 0.182)
Er (0.500, 0.500, 0.500)
Ho (0.595, 0.086, 0.318)
Rh (0.598, 0.775, 0.377)
Ho (0.595, 0.914, 0.682)
Rh (0.402, 0.623, 0.775)
Ho (0.905, 0.586, 0.818)
Ho (0.405, 0.318, 0.914)

Calculated formation energy (eV per atom): -0.684
Crystal system: tetragonal

Entry 3:
The following is a DFT calculation (PBE) of a geometry-optimized V4AsH2 structure.

a b c (Å): 3.189 5.037 9.619
angles (deg): 90.00 90.00 108.45
Fractional coordinates of all 14 atoms:
H (0.901, 0.803, 0.558)
V (0.500, 0.000, 0.000)
V (0.882, 0.765, 0.750)
As (0.410, 0.819, 0.250)
V (0.208, 0.415, 0.905)
As (0.590, 0.181, 0.750)
V (0.792, 0.585, 0.095)
V (0.208, 0.415, 0.595)
V (0.500, 0.000, 0.500)
H (0.901, 0.803, 0.942)
V (0.792, 0.585, 0.405)
V (0.118, 0.235, 0.250)
H (0.099, 0.197, 0.442)
H (0.099, 0.197, 0.058)

Crystal system: orthorhombic
E above lowest polymorph (eV per atom): 0.000

Entry 4:
The following is a DFT calculation (PBE) of a geometry-optimized KNa2MoSe structure.

a b c (Å): 5.726 5.834 5.726
angles (deg): 90.00 90.00 90.00
Last column: magnetic moment on the atom in μB.
Fractional coordinates of all 5 atoms:
Na (0.000, 0.000, 0.500)  -0.01
Mo (0.000, 0.500, 0.000)  3.85
Se (0.500, 0.500, 0.500)  -0.01
Na (0.500, 0.000, 0.000)  0.00
K (0.000, 0.000, 0.000)  0.06

Crystal system: tetragonal
Total DFT energy (no corrections) (eV per atom): -2.235

Entry 5:
The following is a DFT calculation (PBE) of a geometry-optimized Na2PdC2 structure.

a b c (Å): 4.512 4.512 5.280
angles (deg): 90.00 90.00 120.00
Fractional coordinates of all 5 atoms:
Na (0.333, 0.667, 0.279)
Na (0.667, 0.333, 0.721)
C (0.000, 0.000, 0.380)
Pd (0.000, 0.000, 0.000)
C (0.000, 0.000, 0.620)

Calculated formation energy (eV per atom): 0.036
Crystal system: trigonal

Entry 6:
The following is a DFT calculation (PBE) of a geometry-optimized Hf2FeH structure.

a b c (Å): 3.245 3.245 6.561
angles (deg): 75.68 75.68 60.00
Last column: magnetic moment on the atom in μB.
Fractional coordinates of all 4 atoms:
Hf (0.240, 0.240, 0.280)  -0.08
H (0.500, 0.500, 0.500)  0.00
Fe (0.000, 0.000, 0.000)  0.71
Hf (0.760, 0.760, 0.720)  -0.08

Crystal system: trigonal
E above lowest polymorph (eV per atom): 0.025

Entry 7:
The following is a DFT calculation (PBE) of a geometry-optimized Mg2Zn2Cd7 structure.

a b c (Å): 7.344 5.871 5.871
angles (deg): 105.13 99.18 99.18
Fractional coordinates of all 11 atoms:
Cd (0.161, 0.879, 0.508)
Cd (0.839, 0.492, 0.121)
Zn (0.808, 0.612, 0.612)
Cd (0.161, 0.508, 0.879)
Mg (0.500, 0.287, 0.713)
Zn (0.192, 0.388, 0.388)
Cd (0.839, 0.121, 0.492)
Cd (0.529, 0.811, 0.811)
Cd (0.471, 0.189, 0.189)
Mg (0.500, 0.713, 0.287)
Cd (0.000, 0.000, 0.000)

Calculated formation energy (eV per atom): 0.014
Crystal system: monoclinic
E above lowest polymorph (eV per atom): 0.000

Entry 8:
The following is a DFT calculation (PBE) of a geometry-optimized La5TlPd structure.

a b c (Å): 6.321 6.321 11.979
angles (deg): 78.69 78.69 79.31
Fractional coordinates of all 14 atoms:
La (0.774, 0.452, 0.452)
La (0.226, 0.548, 0.548)
Pd (0.000, 0.000, 0.500)
Pd (0.000, 0.000, 0.000)
Tl (0.430, 0.570, 0.250)
La (0.548, 0.226, 0.048)
La (0.026, 0.974, 0.250)
La (0.545, 0.958, 0.637)
La (0.455, 0.042, 0.363)
La (0.958, 0.545, 0.137)
La (0.452, 0.774, 0.952)
Tl (0.570, 0.430, 0.750)
La (0.974, 0.026, 0.750)
La (0.042, 0.455, 0.863)

Calculated formation energy (eV per atom): -0.260
Crystal system: monoclinic

Entry 9:
The following is a DFT calculation (PBE) of a geometry-optimized Cs2AgHgF4 structure.

a b c (Å): 6.370 6.370 6.370
angles (deg): 102.60 113.01 113.01
Fractional coordinates of all 8 atoms:
Hg (0.000, 0.500, 0.500)
F (0.064, 0.166, 0.610)
Cs (0.000, 0.000, 0.000)
Ag (0.500, 0.250, 0.750)
F (0.936, 0.546, 0.102)
F (0.444, 0.898, 0.834)
Cs (0.500, 0.750, 0.250)
F (0.556, 0.390, 0.454)

Crystal system: tetragonal
Total DFT energy (no corrections) (eV per atom): -3.270

Entry 10:
The following is a DFT calculation (PBE) of a geometry-optimized Er2ScHg2 structure.

a b c (Å): 4.617 5.822 5.822
angles (deg): 69.92 66.64 66.64
Fractional coordinates of all 5 atoms:
Hg (0.500, 0.278, 0.722)
Hg (0.500, 0.722, 0.278)
Sc (0.000, 0.000, 0.000)
Er (0.802, 0.698, 0.698)
Er (0.198, 0.302, 0.302)

Calculated formation energy (eV per atom): -0.302
Crystal system: orthorhombic
E above lowest polymorph (eV per atom): 0.045

Entry 11:
The following is a DFT calculation (PBE) of a geometry-optimized HgOs2C structure.

a b c (Å): 4.320 4.320 4.320
angles (deg): 60.00 60.00 60.00
Fractional coordinates of all 4 atoms:
Os (0.250, 0.250, 0.250)
Hg (0.500, 0.500, 0.500)
Os (0.750, 0.750, 0.750)
C (0.000, 0.000, 0.000)

Calculated formation energy (eV per atom): 2.168
Crystal system: cubic
E above lowest polymorph (eV per atom): 0.889

Entry 12:
The following is a DFT calculation (PBE) of a geometry-optimized TmMg6Ag2 structure.

a b c (Å): 4.252 4.252 11.136
angles (deg): 90.00 90.00 90.00
Fractional coordinates of all 9 atoms:
Mg (0.000, 0.500, 0.719)
Mg (0.500, 0.500, 0.500)
Mg (0.000, 0.500, 0.281)
Ag (0.500, 0.500, 0.880)
Mg (0.000, 0.000, 0.500)
Mg (0.500, 0.000, 0.719)
Tm (0.000, 0.000, 0.000)
Ag (0.500, 0.500, 0.120)
Mg (0.500, 0.000, 0.281)

Calculated formation energy (eV per atom): -0.089
Crystal system: tetragonal

Entry 13:
The following is a DFT calculation (PBE) of a geometry-optimized PrMnSi2Tc structure.

a b c (Å): 4.084 4.084 6.017
angles (deg): 109.84 109.84 90.00
Last column: magnetic moment on the atom in μB.
Fractional coordinates of all 5 atoms:
Pr (0.000, 0.000, 0.000)  -0.09
Mn (0.250, 0.750, 0.500)  2.66
Si (0.376, 0.376, 0.752)  -0.05
Si (0.624, 0.624, 0.248)  -0.05
Tc (0.750, 0.250, 0.500)  0.03

Crystal system: tetragonal
Total DFT energy (no corrections) (eV per atom): -7.629

Entry 14:
The following is a DFT calculation (PBE) of a geometry-optimized PrErMgRh structure.

a b c (Å): 5.136 5.136 5.136
angles (deg): 60.00 60.00 60.00
Fractional coordinates of all 4 atoms:
Mg (0.000, 0.000, 0.000)
Pr (0.750, 0.750, 0.750)
Rh (0.500, 0.500, 0.500)
Er (0.250, 0.250, 0.250)

Calculated formation energy (eV per atom): -0.345
Crystal system: cubic

Entry 15:
The following is a DFT calculation (PBE) of a geometry-optimized PmErCl6 structure.

a b c (Å): 6.804 6.804 7.317
angles (deg): 62.30 62.29 60.01
Fractional coordinates of all 8 atoms:
Pm (0.000, 0.000, 0.000)
Cl (0.599, 0.257, 0.255)
Cl (0.257, 0.889, 0.255)
Cl (0.111, 0.400, 0.745)
Cl (0.401, 0.743, 0.745)
Cl (0.743, 0.111, 0.745)
Er (0.500, 0.500, 0.500)
Cl (0.889, 0.600, 0.255)

Crystal system: trigonal
E above lowest polymorph (eV per atom): 0.002

Entry 16:
The following is a DFT calculation (PBE) of a geometry-optimized Zn2Co2Mo structure.

a b c (Å): 2.712 2.689 9.268
angles (deg): 81.66 90.00 90.00
Fractional coordinates of all 5 atoms:
Zn (0.000, 0.185, 0.629)
Co (0.500, 0.595, 0.810)
Zn (0.000, 0.815, 0.371)
Mo (0.000, 0.000, 0.000)
Co (0.500, 0.405, 0.190)

Calculated formation energy (eV per atom): 0.001
Crystal system: orthorhombic
E above lowest polymorph (eV per atom): 0.000

Entry 17:
The following is a DFT calculation (PBE) of a geometry-optimized PrAl2Cd structure.

a b c (Å): 4.434 4.542 4.542
angles (deg): 90.00 90.00 90.00
Fractional coordinates of all 4 atoms:
Cd (0.500, 0.500, 0.500)
Al (0.000, 0.000, 0.500)
Pr (0.500, 0.000, 0.000)
Al (0.000, 0.500, 0.000)

Calculated formation energy (eV per atom): -0.286
Crystal system: tetragonal
E above lowest polymorph (eV per atom): 0.000

Entry 18:
The following is a DFT calculation (PBE) of a geometry-optimized Sr2Ac2Ge3 structure.

a b c (Å): 4.489 7.602 8.189
angles (deg): 116.63 90.00 107.17
Fractional coordinates of all 7 atoms:
Ac (0.158, 0.315, 0.277)
Sr (0.892, 0.785, 0.233)
Ac (0.842, 0.685, 0.723)
Sr (0.108, 0.215, 0.767)
Ge (0.500, 0.000, 0.000)
Ge (0.580, 0.160, 0.461)
Ge (0.420, 0.840, 0.539)

Calculated formation energy (eV per atom): -0.472
Crystal system: monoclinic

Entry 19:
The following is a DFT calculation (PBE) of a geometry-optimized Sm4SiSnN structure.

a b c (Å): 6.747 6.754 8.664
angles (deg): 90.00 112.91 90.00
Fractional coordinates of all 14 atoms:
Si (0.885, 0.750, 0.770)
Sm (0.000, 0.500, 0.500)
Si (0.115, 0.250, 0.230)
Sm (0.079, 0.750, 0.158)
N (0.752, 0.250, 0.504)
Sm (0.589, 0.250, 0.178)
Sm (0.921, 0.250, 0.842)
Sm (0.411, 0.750, 0.822)
Sm (0.500, 0.500, 0.500)
Sn (0.393, 0.250, 0.786)
Sm (0.000, 0.000, 0.500)
N (0.248, 0.750, 0.496)
Sm (0.500, 0.000, 0.500)
Sn (0.607, 0.750, 0.214)

Crystal system: orthorhombic
Total DFT energy (no corrections) (eV per atom): -6.066

Entry 20:
The following is a DFT calculation (PBE) of a geometry-optimized Mo3IrRu3 structure.

a b c (Å): 6.083 6.083 5.918
angles (deg): 90.00 90.00 90.94
Fractional coordinates of all 14 atoms:
Ir (0.720, 0.720, 0.000)
Mo (0.000, 0.500, 0.251)
Mo (0.500, 0.000, 0.251)
Ru (0.722, 0.278, 0.000)
Ir (0.280, 0.280, 0.000)
Ru (0.278, 0.722, 0.000)
Mo (0.500, 0.000, 0.749)
Mo (0.000, 0.500, 0.749)
Ru (0.726, 0.274, 0.500)
Ru (0.279, 0.279, 0.500)
Mo (0.000, 0.000, 0.752)
Ru (0.721, 0.721, 0.500)
Mo (0.000, 0.000, 0.248)
Ru (0.274, 0.726, 0.500)

Calculated formation energy (eV per atom): 0.210
Crystal system: orthorhombic

Entry 21:
The following is a DFT calculation (PBE) of a geometry-optimized HoCuSi2 structure.

a b c (Å): 3.794 4.549 4.549
angles (deg): 99.83 90.00 90.00
Fractional coordinates of all 4 atoms:
Si (0.500, 0.889, 0.497)
Cu (0.500, 0.397, 0.603)
Si (0.500, 0.503, 0.111)
Ho (0.000, 0.992, 0.008)

Crystal system: orthorhombic
Total DFT energy (no corrections) (eV per atom): -5.121

Entry 22:
The following is a DFT calculation (PBE) of a geometry-optimized KZnAg2 structure.

a b c (Å): 5.232 5.232 3.258
angles (deg): 90.00 90.00 90.68
Fractional coordinates of all 4 atoms:
Zn (0.000, 0.500, 0.500)
Ag (0.500, 0.500, 0.000)
K (0.500, 0.000, 0.500)
Ag (0.000, 0.000, 0.000)

Calculated formation energy (eV per atom): 0.299
Crystal system: orthorhombic

Entry 23:
The following is a DFT calculation (PBE) of a geometry-optimized FeP2Os structure.

a b c (Å): 4.025 4.025 4.781
angles (deg): 77.52 77.52 44.10
Fractional coordinates of all 4 atoms:
P (0.998, 0.998, 0.012)
P (0.771, 0.771, 0.603)
Os (0.256, 0.256, 0.227)
Fe (0.475, 0.475, 0.658)

Calculated formation energy (eV per atom): -0.252
Crystal system: monoclinic
E above lowest polymorph (eV per atom): 0.000

Entry 24:
The following is a DFT calculation (PBE) of a geometry-optimized Nd2GaHgGe structure.

a b c (Å): 4.616 7.561 7.595
angles (deg): 90.75 90.00 90.00
Fractional coordinates of all 10 atoms:
Hg (0.250, 0.612, 0.255)
Hg (0.750, 0.388, 0.745)
Ge (0.750, 0.093, 0.245)
Ga (0.750, 0.422, 0.263)
Ge (0.250, 0.907, 0.755)
Nd (0.750, 0.784, 0.504)
Nd (0.250, 0.224, 0.000)
Nd (0.250, 0.216, 0.496)
Nd (0.750, 0.776, 0.000)
Ga (0.250, 0.578, 0.737)

Calculated formation energy (eV per atom): -0.554
Crystal system: monoclinic

Entry 25:
The following is a DFT calculation (PBE) of a geometry-optimized TbGdPaSn structure.

a b c (Å): 5.353 5.353 5.353
angles (deg): 60.00 60.00 60.00
Last column: magnetic moment on the atom in μB.
Fractional coordinates of all 4 atoms:
Pa (0.250, 0.250, 0.250)  0.85
Tb (0.500, 0.500, 0.500)  0.17
Gd (0.000, 0.000, 0.000)  7.27
Sn (0.750, 0.750, 0.750)  -0.04

Calculated formation energy (eV per atom): 0.005
Crystal system: cubic